First-principles (PBE) data for an optimized crystal structure of Zn2GeSbS, as listed in Alexandria.

Results
ρ: 4.354 g/cm³
space-group type: P4/mmm
VASP energy: -2.425 eV/atom

Cell lengths 5.0814, 5.2776, 5.0814 Å; angles 90.00, 90.00, 90.00 degrees
Last column: nearest neighbours and their distance in Å.
Positions (direct):
S (0.0000, 0.5000, 0.0000)  2 Sb 2.64
Ge (0.5000, 0.5000, 0.5000)  4 S 3.59, 8 Zn 3.66
Zn (0.5000, 0.0000, 0.0000)  2 Sb 2.54
Sb (0.0000, 0.0000, 0.0000)  4 Zn 2.54, 2 S 2.64
Zn (0.0000, 0.0000, 0.5000)  2 Sb 2.54